No. 1
VASP calculation (SCAN) on a crystal of YCdTe2 relaxed with PBEsol.

a = 3.8368 Å, b = 3.8319 Å, c = 7.3120 Å
α = 90.00°, β = 97.23°, γ = 90.00°
Space group P2/m (No. 10)
Asymmetric unit:
1 Y 0.0000 0.0000 0.0000 x1
2 Cd 0.0000 0.0000 0.5000 x1
3 Te 0.4233 0.5000 0.7630 x2

Output
magnetization	0.000	μB/atom
uncorrected formation energy	-0.818	eV/atom
total energy	-34.01	eV/atom


No. 2
VASP calculation (SCAN) on a crystal of YCd2Te relaxed with PBEsol.

a = 5.9765 Å, b = 6.0680 Å, c = 5.7471 Å
α = 90.00°, β = 90.00°, γ = 90.00°
Space group Cmmm (No. 65)
Asymmetric unit:
1 Y 0.0000 0.0000 0.0000 x2
2 Cd 0.0000 0.2482 0.5000 x4
3 Te 0.0000 0.5000 0.0000 x2

Output
magnetization	0.000	μB/atom
uncorrected formation energy	-0.452	eV/atom
total energy	-31.93	eV/atom


No. 3
VASP calculation (SCAN) on a crystal of YCdTe2 relaxed with PBEsol.

a = 4.1977 Å, b = 4.1977 Å, c = 22.8324 Å
α = 90.00°, β = 90.00°, γ = 120.00°
Space group R-3m (No. 166, hexagonal axes)
Asymmetric unit:
1 Y 0.0000 0.0000 0.0000 x3
2 Cd 0.0000 0.0000 0.5000 x3
3 Te 0.0000 0.0000 0.2514 x6

Output
magnetization	0.000	μB/atom
uncorrected formation energy	-0.938	eV/atom
total energy	-34.13	eV/atom


No. 4
VASP calculation (SCAN) on a crystal of Y2CdTe relaxed with PBEsol.

a = 4.0840 Å, b = 4.0840 Å, c = 23.1803 Å
α = 90.00°, β = 90.00°, γ = 120.00°
Space group R-3m (No. 166, hexagonal axes)
Asymmetric unit:
1 Y 0.0000 0.0000 0.2483 x6
2 Cd 0.0000 0.0000 0.0000 x3
3 Te 0.0000 0.0000 0.5000 x3

Output
magnetization	0.000	μB/atom
uncorrected formation energy	-0.903	eV/atom
total energy	-31.74	eV/atom


No. 5
VASP calculation (SCAN) on a crystal of YCdTe2 relaxed with PBEsol.

a = 4.3838 Å, b = 4.0973 Å, c = 12.0218 Å
α = 90.00°, β = 90.00°, γ = 90.00°
Space group Amm2 (No. 38)
Asymmetric unit:
1 Y 0.0000 0.0000 0.0000 x2
2 Cd 0.5000 0.0000 0.1976 x2
3 Te 0.0000 0.0000 0.7011 x2
4 Te 0.5000 0.0000 0.4343 x2

Output
magnetization	0.000	μB/atom
uncorrected formation energy	-1.034	eV/atom
total energy	-34.22	eV/atom


No. 6
VASP calculation (SCAN) on a crystal of YCdTe2 relaxed with PBEsol.

a = 4.2868 Å, b = 4.2868 Å, c = 6.2163 Å
α = 90.00°, β = 90.00°, γ = 90.00°
Space group P4mm (No. 99)
Asymmetric unit:
1 Y 0.0000 0.0000 0.0000 x1
2 Cd 0.5000 0.5000 0.4938 x1
3 Te 0.0000 0.0000 0.4992 x1
4 Te 0.5000 0.5000 0.9956 x1

Output
magnetization	0.000	μB/atom
uncorrected formation energy	-0.950	eV/atom
total energy	-34.14	eV/atom


No. 7
VASP calculation (SCAN) on a crystal of Zn2CdTe2 relaxed with PBEsol.

a = 5.3766 Å, b = 5.3766 Å, c = 8.1141 Å
α = 90.00°, β = 90.00°, γ = 90.00°
Space group I4/mmm (No. 139)
Asymmetric unit:
1 Zn 0.0000 0.0000 0.1518 x4
2 Cd 0.0000 0.0000 0.5000 x2
3 Te 0.0000 0.5000 0.2500 x4

Output
magnetization	0.000	μB/atom
uncorrected formation energy	0.031	eV/atom
total energy	-26.36	eV/atom


No. 8
VASP calculation (SCAN) on a crystal of ZnCdTe3 relaxed with PBEsol.

a = 5.5043 Å, b = 5.5043 Å, c = 5.5043 Å
α = 90.00°, β = 90.00°, γ = 90.00°
Space group Pm-3m (No. 221)
Asymmetric unit:
1 Zn 0.0000 0.0000 0.0000 x1
2 Cd 0.5000 0.5000 0.5000 x1
3 Te 0.0000 0.5000 0.5000 x3

Output
magnetization	0.521	μB/atom
uncorrected formation energy	0.698	eV/atom
total energy	-30.44	eV/atom


No. 9
VASP calculation (SCAN) on a crystal of Zr3CdTe relaxed with PBEsol.

a = 5.1530 Å, b = 5.1530 Å, c = 5.1530 Å
α = 90.00°, β = 90.00°, γ = 90.00°
Space group Pm-3m (No. 221)
Asymmetric unit:
1 Zr 0.0000 0.0000 0.5000 x3
2 Cd 0.0000 0.0000 0.0000 x1
3 Te 0.5000 0.5000 0.5000 x1

Output
magnetization	0.001	μB/atom
uncorrected formation energy	0.763	eV/atom
total energy	-31.19	eV/atom


No. 10
VASP calculation (SCAN) on a crystal of ZrCdTe relaxed with PBEsol.

a = 6.8179 Å, b = 6.8179 Å, c = 6.8179 Å
α = 90.00°, β = 90.00°, γ = 90.00°
Space group F-43m (No. 216)
Asymmetric unit:
1 Zr 0.0000 0.0000 0.0000 x4
2 Cd 0.2500 0.2500 0.7500 x4
3 Te 0.2500 0.2500 0.2500 x4

Output
magnetization	0.003	μB/atom
uncorrected formation energy	0.004	eV/atom
total energy	-32.78	eV/atom


No. 11
VASP calculation (SCAN) on a crystal of ThCd11 relaxed with PBEsol.

a = 9.1949 Å, b = 9.1949 Å, c = 9.1949 Å
α = 90.00°, β = 90.00°, γ = 90.00°
Space group Pm-3m (No. 221)
Asymmetric unit:
1 Th 0.0000 0.0000 0.5000 x3
2 Cd 0.0000 0.3448 0.3448 x12
3 Cd 0.1561 0.1561 0.1561 x8
4 Cd 0.2656 0.2656 0.5000 x12
5 Cd 0.5000 0.5000 0.5000 x1

Output
magnetization	0.000	μB/atom
total energy	-36.00	eV/atom


No. 12
VASP calculation (SCAN) on a crystal of ThCd2 relaxed with PBEsol.

a = 5.0084 Å, b = 5.0084 Å, c = 3.3566 Å
α = 90.00°, β = 90.00°, γ = 120.00°
Space group P6/mmm (No. 191)
Asymmetric unit:
1 Th 0.0000 0.0000 0.0000 x1
2 Cd 0.3333 0.6667 0.5000 x2

Output
magnetization	0.003	μB/atom
total energy	-52.46	eV/atom


No. 13
VASP calculation (SCAN) on a crystal of ThCd3 relaxed with PBEsol.

a = 6.7191 Å, b = 6.7191 Å, c = 4.8854 Å
α = 90.00°, β = 90.00°, γ = 120.00°
Space group P6_3/mmc (No. 194)
Asymmetric unit:
1 Th 0.3333 0.6667 0.2500 x2
2 Cd 0.1557 0.3114 0.7500 x6

Output
magnetization	0.000	μB/atom
total energy	-46.97	eV/atom


No. 14
VASP calculation (SCAN) on a crystal of Ti3Cd relaxed with PBEsol.

a = 4.0856 Å, b = 4.0856 Å, c = 4.0856 Å
α = 90.00°, β = 90.00°, γ = 90.00°
Space group Pm-3m (No. 221)
Asymmetric unit:
1 Ti 0.0000 0.0000 0.5000 x3
2 Cd 0.5000 0.5000 0.5000 x1

Output
magnetization	0.000	μB/atom
total energy	-19.65	eV/atom


No. 15
VASP calculation (SCAN) on a crystal of TiCd relaxed with PBEsol.

a = 2.8539 Å, b = 2.8539 Å, c = 8.9000 Å
α = 90.00°, β = 90.00°, γ = 90.00°
Space group P4/nmm (No. 129, origin choice 2)
Asymmetric unit:
1 Ti 0.2500 0.2500 0.1095 x2
2 Cd 0.2500 0.2500 0.6335 x2

Output
magnetization	0.001	μB/atom
total energy	-23.32	eV/atom


No. 16
VASP calculation (SCAN) on a crystal of TiCd3 relaxed with PBEsol.

a = 6.0566 Å, b = 6.0566 Å, c = 4.7359 Å
α = 90.00°, β = 90.00°, γ = 120.00°
Space group P6_3/mmc (No. 194)
Asymmetric unit:
1 Ti 0.3333 0.6667 0.2500 x2
2 Cd 0.1692 0.3384 0.7500 x6

Output
magnetization	0.000	μB/atom
total energy	-26.84	eV/atom


No. 17
VASP calculation (SCAN) on a crystal of TiTl2Cd relaxed with PBEsol.

a = 7.0615 Å, b = 7.0615 Å, c = 7.0615 Å
α = 90.00°, β = 90.00°, γ = 90.00°
Space group Fm-3m (No. 225)
Asymmetric unit:
1 Ti 0.0000 0.0000 0.0000 x4
2 Tl 0.2500 0.2500 0.2500 x8
3 Cd 0.0000 0.0000 0.5000 x4

Output
magnetization	0.445	μB/atom
total energy	-47.54	eV/atom


No. 18
VASP calculation (SCAN) on a crystal of TiZn2Cd2 relaxed with PBEsol.

a = 3.3932 Å, b = 3.3932 Å, c = 15.8069 Å
α = 90.00°, β = 90.00°, γ = 90.00°
Space group I4/mmm (No. 139)
Asymmetric unit:
1 Ti 0.0000 0.0000 0.0000 x2
2 Zn 0.0000 0.5000 0.2500 x4
3 Cd 0.0000 0.0000 0.3944 x4

Output
magnetization	0.001	μB/atom
total energy	-20.60	eV/atom


No. 19
VASP calculation (SCAN) on a crystal of Tl5Cd3 relaxed with PBEsol.

a = 11.7423 Å, b = 11.7423 Å, c = 6.0417 Å
α = 90.00°, β = 90.00°, γ = 90.00°
Space group I4/mcm (No. 140)
Asymmetric unit:
1 Tl 0.0000 0.5000 0.2500 x4
2 Tl 0.0746 0.2254 0.0000 x16
3 Cd 0.0000 0.0000 0.2500 x4
4 Cd 0.1694 0.3306 0.5000 x8

Output
magnetization	0.000	μB/atom
total energy	-56.57	eV/atom
distance to the lowest polymorph of the same formula	0.000	eV/atom


No. 20
VASP calculation (SCAN) on a crystal of TlCd relaxed with PBEsol.

a = 4.6357 Å, b = 4.6357 Å, c = 9.2259 Å
α = 90.00°, β = 90.00°, γ = 90.00°
Space group I4_1/amd (No. 141, origin choice 2)
Asymmetric unit:
1 Tl 0.0000 0.2500 0.3750 x4
2 Cd 0.0000 0.2500 0.8750 x4

Output
magnetization	0.000	μB/atom
total energy	-51.29	eV/atom


No. 21
VASP calculation (SCAN) on a crystal of TlCd relaxed with PBEsol.

a = 3.2731 Å, b = 3.2731 Å, c = 9.1947 Å
α = 90.00°, β = 90.00°, γ = 90.00°
Space group P4/nmm (No. 129, origin choice 2)
Asymmetric unit:
1 Tl 0.2500 0.2500 0.1443 x2
2 Cd 0.2500 0.2500 0.6061 x2

Output
magnetization	0.000	μB/atom
total energy	-51.35	eV/atom


No. 22
VASP calculation (SCAN) on a crystal of TlCd4 relaxed with PBEsol.

a = 4.1699 Å, b = 4.1699 Å, c = 13.8556 Å
α = 90.00°, β = 90.00°, γ = 90.00°
Space group I4/mmm (No. 139)
Asymmetric unit:
1 Tl 0.0000 0.0000 0.0000 x2
2 Cd 0.0000 0.0000 0.3999 x4
3 Cd 0.0000 0.5000 0.2500 x4

Output
magnetization	0.000	μB/atom
total energy	-38.73	eV/atom
distance to the lowest polymorph of the same formula	0.000	eV/atom


No. 23
VASP calculation (SCAN) on a crystal of Tl4Cd5 relaxed with PBEsol.

a = 9.1099 Å, b = 9.1099 Å, c = 6.2277 Å
α = 90.00°, β = 90.00°, γ = 120.00°
Space group P6_3/mcm (No. 193)
Asymmetric unit:
1 Tl 0.0000 0.0000 0.0000 x2
2 Tl 0.0000 0.3494 0.2500 x6
3 Cd 0.0000 0.3244 0.7500 x6
4 Cd 0.3333 0.6667 0.0000 x4

Output
magnetization	0.000	μB/atom
total energy	-48.95	eV/atom
distance to the lowest polymorph of the same formula	0.037	eV/atom


No. 24
VASP calculation (SCAN) on a crystal of TlCd relaxed with PBEsol.

a = 5.8763 Å, b = 5.8763 Å, c = 5.8763 Å
α = 90.00°, β = 90.00°, γ = 90.00°
Space group P2_13 (No. 198)
Asymmetric unit:
1 Tl 0.0965 0.0965 0.0965 x4
2 Cd 0.0960 0.5960 0.9040 x4

Output
magnetization	0.000	μB/atom
total energy	-51.30	eV/atom


No. 25
VASP calculation (SCAN) on a crystal of Tl5Cd3 relaxed with PBEsol.

a = 8.8094 Å, b = 8.8094 Å, c = 6.2642 Å
α = 90.00°, β = 90.00°, γ = 120.00°
Space group P6_3/mcm (No. 193)
Asymmetric unit:
1 Tl 0.0000 0.2294 0.2500 x6
2 Tl 0.3333 0.6667 0.0000 x4
3 Cd 0.0000 0.4057 0.7500 x6

Output
magnetization	0.000	μB/atom
total energy	-56.56	eV/atom
distance to the lowest polymorph of the same formula	0.010	eV/atom


No. 26
VASP calculation (SCAN) on a crystal of TlCd relaxed with PBEsol.

a = 3.2647 Å, b = 3.2647 Å, c = 5.4034 Å
α = 90.00°, β = 90.00°, γ = 120.00°
Space group P-6m2 (No. 187)
Asymmetric unit:
1 Tl 0.0000 0.0000 0.0000 x1
2 Cd 0.6667 0.3333 0.5000 x1

Output
magnetization	0.000	μB/atom
total energy	-51.30	eV/atom